Entry from Alexandria via LeMat-Bulk: a geometry-optimized PAu structure (PBE).

a = 4.0550 Å, b = 4.0550 Å, c = 17.1709 Å
α = 90.00°, β = 90.00°, γ = 120.00°
Closest atoms and distances in Å follow each position.
Fractional positions:
Au (0.0000, 0.0000, 0.2264)  3 P 2.45
Au (0.0000, 0.0000, 0.7736)  3 P 2.45
Au (0.6667, 0.3333, 0.4267)  3 P 2.41
Au (0.3333, 0.6667, 0.5733)  3 P 2.41
Au (0.6667, 0.3333, 0.1024)  3 P 2.44
Au (0.3333, 0.6667, 0.8976)  3 P 2.44
P (0.6667, 0.3333, 0.7320)  1 P 2.17
P (0.3333, 0.6667, 0.3943)  1 P 2.17, 3 Au 2.41
P (0.3333, 0.6667, 0.2680)  1 P 2.17
P (0.0000, 0.0000, 0.0632)  1 P 2.17
P (0.6667, 0.3333, 0.6057)  1 P 2.17, 3 Au 2.41
P (0.0000, 0.0000, 0.9368)  1 P 2.17

Results
- SG = P-3m1, No. 164
- calculated volume (Å³ per cell) = 244.52
- total moment (μB/f.u.) = 0.000
- ΔE to the lowest computed polymorph (meV per atom) = 202
- formation enthalpy at 0 K (meV/atom) = 74

Entry from Alexandria via LeMat-Bulk: a geometry-optimized P2Au3 structure (PBE).

a = 8.0297 Å, b = 8.0297 Å, c = 8.0297 Å
α = 26.48°, β = 26.48°, γ = 26.48°
Closest atoms and distances in Å follow each position.
Fractional positions:
P (0.6004, 0.6004, 0.6004)  6 Au 2.55-2.62
P (0.3996, 0.3996, 0.3996)  6 Au 2.55-2.62
Au (0.7940, 0.7940, 0.7940)  3 P 2.55, 3 Au 2.80
Au (0.2060, 0.2060, 0.2060)  3 P 2.55, 3 Au 2.80
Au (0.0000, 0.0000, 0.0000)  6 P 2.62

Results
- SG = R-3m, No. 166
- calculated volume (Å³ per cell) = 90.71
- total moment (μB/f.u.) = 0.000
- formation enthalpy at 0 K (meV/atom) = 227

Entry from Alexandria via LeMat-Bulk: a geometry-optimized P4Au3 structure (PBE).

a = 13.1020 Å, b = 13.1020 Å, c = 13.1020 Å
α = 166.23°, β = 166.23°, γ = 19.52°
Closest atoms and distances in Å follow each position.
Fractional positions:
P (0.6206, 0.6206, 0.0000)  4 P 2.34, 1 Au 2.39
P (0.3794, 0.3794, 0.0000)  4 P 2.34, 1 Au 2.39
P (0.0919, 0.0919, 0.0000)  4 P 2.34, 1 Au 2.37
P (0.9081, 0.9081, 0.0000)  4 P 2.34, 1 Au 2.37
Au (0.2867, 0.2867, 0.0000)  1 P 2.39
Au (0.0000, 0.0000, 0.0000)  2 P 2.37
Au (0.7133, 0.7133, 0.0000)  1 P 2.39

Results
- SG = I4/mmm, No. 139
- calculated volume (Å³ per cell) = 127.42
- total moment (μB/f.u.) = 0.000
- ΔE to the lowest computed polymorph (meV per atom) = 0
- formation enthalpy at 0 K (meV/atom) = 61